[1]
VASP calculation (SCAN) on AlHN2O at its PBEsol-relaxed geometry.

Cell and atoms, written as POSCAR:
```
AlHN2O
1.0
2.743 0.000 0.000
0.000 2.743 0.000
0.000 0.000 4.710
Al H N O
1 1 2 1
Direct
0.000 0.000 0.000 Al
0.500 0.500 0.500 H
0.000 0.500 0.500 N
0.500 0.000 0.500 N
0.500 0.500 0.000 O
```

=====

[2]
VASP calculation (SCAN) on Al2P2H9NO11 at its PBEsol-relaxed geometry.

Cell and atoms, written as POSCAR:
```
Al2P2H9NO11
1.0
9.534 0.000 0.000
0.000 9.492 0.000
-7.311 0.000 9.352
Al P H N O
8 8 36 4 44
Direct
0.014 0.040 0.128 Al
0.014 0.460 0.628 Al
0.288 0.729 0.185 Al
0.288 0.771 0.685 Al
0.712 0.229 0.315 Al
0.712 0.271 0.815 Al
0.986 0.540 0.372 Al
0.986 0.960 0.872 Al
0.160 0.686 0.867 P
0.160 0.814 0.367 P
0.351 0.035 0.149 P
0.351 0.465 0.649 P
0.649 0.535 0.351 P
0.649 0.965 0.851 P
0.840 0.186 0.633 P
0.840 0.314 0.133 P
0.043 0.204 0.980 H
0.043 0.296 0.480 H
0.083 0.537 0.187 H
0.083 0.963 0.687 H
0.164 0.017 0.605 H
0.164 0.483 0.105 H
0.189 0.089 0.460 H
0.189 0.411 0.960 H
0.312 0.132 0.912 H
0.312 0.368 0.412 H
0.321 0.220 0.331 H
0.321 0.280 0.831 H
0.349 0.139 0.619 H
0.349 0.361 0.119 H
0.445 0.141 0.858 H
0.445 0.359 0.358 H
0.499 0.731 0.498 H
0.499 0.769 0.998 H
0.501 0.231 0.002 H
0.501 0.269 0.502 H
0.555 0.641 0.642 H
0.555 0.859 0.142 H
0.651 0.639 0.881 H
0.651 0.861 0.381 H
0.679 0.720 0.169 H
0.679 0.780 0.669 H
0.688 0.632 0.588 H
0.688 0.868 0.088 H
0.811 0.589 0.040 H
0.811 0.911 0.540 H
0.836 0.517 0.895 H
0.836 0.983 0.395 H
0.917 0.037 0.313 H
0.917 0.463 0.813 H
0.957 0.704 0.520 H
0.957 0.796 0.020 H
0.392 0.195 0.901 N
0.392 0.305 0.401 N
0.608 0.695 0.599 N
0.608 0.805 0.099 N
0.011 0.705 0.305 O
0.011 0.795 0.805 O
0.058 0.637 0.556 O
0.058 0.863 0.056 O
0.073 0.541 0.796 O
0.073 0.959 0.296 O
0.147 0.567 0.150 O
0.147 0.933 0.650 O
0.217 0.138 0.545 O
0.217 0.362 0.045 O
0.222 0.021 0.983 O
0.222 0.479 0.483 O
0.247 0.088 0.202 O
0.247 0.412 0.702 O
0.268 0.672 0.029 O
0.268 0.828 0.529 O
0.291 0.724 0.837 O
0.291 0.776 0.337 O
0.429 0.613 0.715 O
0.429 0.887 0.215 O
0.500 0.132 0.190 O
0.500 0.368 0.690 O
0.500 0.632 0.310 O
0.500 0.868 0.810 O
0.571 0.113 0.785 O
0.571 0.387 0.285 O
0.709 0.224 0.663 O
0.709 0.276 0.163 O
0.732 0.172 0.471 O
0.732 0.328 0.971 O
0.753 0.588 0.298 O
0.753 0.912 0.798 O
0.778 0.521 0.517 O
0.778 0.979 0.017 O
0.783 0.638 0.955 O
0.783 0.862 0.455 O
0.853 0.067 0.350 O
0.853 0.433 0.850 O
0.927 0.041 0.704 O
0.927 0.459 0.204 O
0.942 0.137 0.944 O
0.942 0.363 0.444 O
0.989 0.205 0.195 O
0.989 0.295 0.695 O
```

=====

[3]
VASP calculation (SCAN) on Al2P3H12N3O12 at its PBEsol-relaxed geometry.

Cell and atoms, written as POSCAR:
```
Al2P3H12N3O12
1.0
6.591 -5.059 0.000
6.591 5.059 0.000
-3.155 0.000 8.384
Al P H N O
4 6 24 6 24
Direct
0.091 0.243 0.080 Al
0.243 0.091 0.580 Al
0.757 0.909 0.420 Al
0.909 0.757 0.920 Al
0.008 0.992 0.750 P
0.170 0.414 0.843 P
0.414 0.170 0.343 P
0.586 0.830 0.657 P
0.830 0.586 0.157 P
0.992 0.008 0.250 P
0.093 0.627 0.443 H
0.130 0.646 0.641 H
0.217 0.458 0.524 H
0.285 0.605 0.166 H
0.296 0.641 0.566 H
0.354 0.870 0.859 H
0.359 0.704 0.934 H
0.373 0.907 0.057 H
0.395 0.715 0.334 H
0.422 0.494 0.303 H
0.458 0.217 0.024 H
0.494 0.422 0.803 H
0.506 0.578 0.197 H
0.542 0.783 0.976 H
0.578 0.506 0.697 H
0.605 0.285 0.666 H
0.627 0.093 0.943 H
0.641 0.296 0.066 H
0.646 0.130 0.141 H
0.704 0.359 0.434 H
0.715 0.395 0.834 H
0.783 0.542 0.476 H
0.870 0.354 0.359 H
0.907 0.373 0.557 H
0.184 0.592 0.541 N
0.399 0.601 0.250 N
0.408 0.816 0.959 N
0.592 0.184 0.041 N
0.601 0.399 0.750 N
0.816 0.408 0.459 N
0.002 0.461 0.150 O
0.020 0.820 0.792 O
0.028 0.861 0.106 O
0.132 0.293 0.676 O
0.139 0.972 0.394 O
0.180 0.980 0.708 O
0.224 0.312 0.975 O
0.293 0.132 0.176 O
0.312 0.224 0.475 O
0.315 0.505 0.861 O
0.461 0.002 0.650 O
0.495 0.685 0.639 O
0.505 0.315 0.361 O
0.539 0.998 0.350 O
0.685 0.495 0.139 O
0.688 0.776 0.525 O
0.707 0.868 0.824 O
0.776 0.688 0.025 O
0.820 0.020 0.292 O
0.861 0.028 0.606 O
0.868 0.707 0.324 O
0.972 0.139 0.894 O
0.980 0.180 0.208 O
0.998 0.539 0.850 O
```

=====

[4]
VASP calculation (SCAN) on Al2Si3H8N2O10 at its PBEsol-relaxed geometry.

Cell and atoms, written as POSCAR:
```
Al2Si3H8N2O10
1.0
12.823 0.000 0.000
0.000 6.570 0.000
-0.197 0.000 12.847
Al Si H N O
8 12 32 8 40
Direct
0.117 0.000 0.315 Al
0.184 0.249 0.884 Al
0.312 0.247 0.624 Al
0.377 0.000 0.190 Al
0.623 0.500 0.810 Al
0.688 0.747 0.376 Al
0.816 0.749 0.116 Al
0.883 0.500 0.685 Al
0.118 0.487 0.691 Si
0.186 0.241 0.121 Si
0.241 0.616 0.265 Si
0.258 0.863 0.765 Si
0.317 0.243 0.387 Si
0.386 0.492 0.818 Si
0.614 0.992 0.182 Si
0.683 0.743 0.613 Si
0.742 0.363 0.235 Si
0.759 0.116 0.735 Si
0.814 0.741 0.879 Si
0.882 0.987 0.309 Si
0.003 0.030 0.503 H
0.007 0.775 0.004 H
0.035 0.894 0.613 H
0.045 0.602 0.378 H
0.085 0.133 0.595 H
0.096 0.886 0.086 H
0.117 0.645 0.042 H
0.128 0.846 0.958 H
0.373 0.652 0.475 H
0.381 0.837 0.570 H
0.402 0.346 0.086 H
0.415 0.596 0.599 H
0.439 0.585 0.120 H
0.472 0.892 0.876 H
0.483 0.476 0.006 H
0.493 0.733 0.518 H
0.507 0.233 0.482 H
0.517 0.976 0.994 H
0.528 0.392 0.124 H
0.561 0.085 0.880 H
0.585 0.096 0.401 H
0.598 0.846 0.914 H
0.619 0.337 0.430 H
0.627 0.152 0.525 H
0.872 0.346 0.042 H
0.883 0.145 0.958 H
0.904 0.386 0.914 H
0.915 0.633 0.405 H
0.955 0.102 0.622 H
0.965 0.394 0.387 H
0.993 0.275 0.996 H
0.997 0.530 0.497 H
0.020 0.038 0.584 N
0.087 0.787 0.022 N
0.415 0.707 0.539 N
0.464 0.452 0.085 N
0.536 0.952 0.915 N
0.585 0.207 0.461 N
0.913 0.287 0.978 N
0.980 0.538 0.416 N
0.007 0.540 0.632 O
0.098 0.379 0.801 O
0.121 0.071 0.183 O
0.128 0.272 0.008 O
0.148 0.739 0.322 O
0.180 0.705 0.704 O
0.182 0.334 0.615 O
0.184 0.462 0.180 O
0.194 0.988 0.852 O
0.202 0.146 0.390 O
0.306 0.165 0.107 O
0.306 0.360 0.885 O
0.308 0.488 0.353 O
0.312 0.003 0.676 O
0.321 0.759 0.202 O
0.354 0.737 0.823 O
0.373 0.243 0.502 O
0.387 0.422 0.696 O
0.394 0.126 0.308 O
0.498 0.975 0.128 O
0.502 0.475 0.872 O
0.606 0.626 0.692 O
0.613 0.922 0.304 O
0.627 0.743 0.498 O
0.646 0.237 0.177 O
0.679 0.259 0.798 O
0.688 0.503 0.324 O
0.692 0.988 0.647 O
0.694 0.665 0.893 O
0.694 0.860 0.115 O
0.798 0.646 0.610 O
0.806 0.488 0.148 O
0.816 0.962 0.820 O
0.818 0.834 0.385 O
0.820 0.205 0.296 O
0.852 0.239 0.678 O
0.872 0.772 0.992 O
0.879 0.571 0.817 O
0.902 0.879 0.199 O
0.993 0.040 0.368 O
```

=====

[5]
VASP calculation (SCAN) on Al2Si3H8N2O10 at its PBEsol-relaxed geometry.

Cell and atoms, written as POSCAR:
```
Al2Si3H8N2O10
1.0
0.000 9.087 3.287
9.060 0.000 3.287
9.060 9.087 0.000
Al Si H N O
4 6 16 4 20
Direct
0.065 0.935 0.129 Al
0.121 0.379 0.185 Al
0.379 0.121 0.315 Al
0.935 0.065 0.871 Al
0.072 0.944 0.358 Si
0.386 0.386 0.614 Si
0.625 0.892 0.306 Si
0.636 0.636 0.864 Si
0.892 0.625 0.178 Si
0.944 0.072 0.625 Si
0.144 0.540 0.790 H
0.189 0.508 0.315 H
0.233 0.724 0.263 H
0.263 0.935 0.742 H
0.278 0.531 0.386 H
0.445 0.864 0.719 H
0.460 0.724 0.106 H
0.471 0.987 0.526 H
0.508 0.189 0.987 H
0.531 0.278 0.805 H
0.540 0.144 0.526 H
0.724 0.233 0.779 H
0.724 0.460 0.710 H
0.864 0.445 0.972 H
0.935 0.263 0.061 H
0.987 0.471 0.017 H
0.292 0.623 0.267 N
0.432 0.983 0.627 N
0.623 0.292 0.818 N
0.983 0.432 0.958 N
0.031 0.299 0.400 O
0.036 0.144 0.268 O
0.114 0.870 0.261 O
0.144 0.036 0.552 O
0.190 0.318 0.661 O
0.299 0.031 0.270 O
0.318 0.190 0.832 O
0.418 0.589 0.932 O
0.444 0.610 0.539 O
0.496 0.989 0.380 O
0.589 0.418 0.060 O
0.610 0.444 0.407 O
0.698 0.982 0.106 O
0.711 0.843 0.806 O
0.843 0.711 0.640 O
0.850 0.980 0.219 O
0.870 0.114 0.754 O
0.980 0.850 0.951 O
0.982 0.698 0.214 O
0.989 0.496 0.136 O
```

=====

[6]
VASP calculation (SCAN) on ZrAlH2N at its PBEsol-relaxed geometry.

Cell and atoms, written as POSCAR:
```
ZrAlH2N
1.0
3.175 0.000 0.000
0.000 3.175 0.000
0.000 0.000 6.086
Zr Al H N
1 1 2 1
Direct
0.000 0.000 0.000 Zr
0.000 0.000 0.500 Al
0.000 0.500 0.500 H
0.500 0.000 0.500 H
0.500 0.500 0.000 N
```

=====

[7]
VASP calculation (SCAN) on Na5Al3H14 at its PBEsol-relaxed geometry.

Cell and atoms, written as POSCAR:
```
Na5Al3H14
1.0
6.543 0.000 0.000
0.000 6.543 0.000
0.000 0.000 10.230
Na Al H
10 6 28
Direct
0.000 0.000 0.000 Na
0.204 0.296 0.250 Na
0.204 0.296 0.750 Na
0.296 0.796 0.250 Na
0.296 0.796 0.750 Na
0.500 0.500 0.500 Na
0.704 0.204 0.250 Na
0.704 0.204 0.750 Na
0.796 0.704 0.250 Na
0.796 0.704 0.750 Na
0.000 0.000 0.500 Al
0.000 0.500 0.000 Al
0.000 0.500 0.500 Al
0.500 0.000 0.000 Al
0.500 0.000 0.500 Al
0.500 0.500 0.000 Al
0.000 0.000 0.328 H
0.000 0.000 0.672 H
0.057 0.681 0.118 H
0.057 0.681 0.882 H
0.096 0.248 0.500 H
0.181 0.557 0.382 H
0.181 0.557 0.618 H
0.248 0.904 0.500 H
0.252 0.404 0.000 H
0.319 0.057 0.118 H
0.319 0.057 0.882 H
0.404 0.748 0.000 H
0.443 0.181 0.382 H
0.443 0.181 0.618 H
0.500 0.500 0.172 H
0.500 0.500 0.828 H
0.557 0.819 0.382 H
0.557 0.819 0.618 H
0.596 0.252 0.000 H
0.681 0.943 0.118 H
0.681 0.943 0.882 H
0.748 0.596 0.000 H
0.752 0.096 0.500 H
0.819 0.443 0.382 H
0.819 0.443 0.618 H
0.904 0.752 0.500 H
0.943 0.319 0.118 H
0.943 0.319 0.882 H
```

=====

Values for VASP energy, eV/atom, ordered as above
-6.62, -7.70, -7.68, -8.21, -8.21, -11.22, -4.46